Record 1
Ba2CuW | PBE-GGA | relaxed

Results
excess energy over the best structure of this formula in the dataset	36	meV/atom
VASP energy	-34.98	eV for the cell shown
SG	Amm2 (38)
ΔE_f	0.85	eV per atom

Cell: 4.446 5.023 11.638 Å, 90.00 90.00 90.00°
Element x y z (fractional)
Ba  0.000  0.000  0.000
Ba  0.000  0.500  0.500
Ba  0.500  0.000  0.294
Ba  0.500  0.500  0.794
Cu  0.000  0.000  0.697
Cu  0.000  0.500  0.197
W  0.500  0.000  0.607
W  0.500  0.500  0.107


Record 2
BaCu2W | PBE-GGA | relaxed

Results
excess energy over the best structure of this formula in the dataset	0	meV/atom
VASP energy	-62.46	eV for the cell shown
SG	R-3m (166)
ΔE_f	0.56	eV per atom

Cell: 4.343 4.343 17.512 Å, 90.00 90.00 120.00°
Element x y z (fractional)
Ba  0.000  0.000  0.000
Ba  0.333  0.667  0.667
Ba  0.667  0.333  0.333
Cu  0.000  0.000  0.184
Cu  0.000  0.000  0.816
Cu  0.333  0.667  0.483
Cu  0.333  0.667  0.851
Cu  0.667  0.333  0.149
Cu  0.667  0.333  0.517
W  0.000  0.000  0.500
W  0.333  0.667  0.167
W  0.667  0.333  0.833


Record 3
BaZn2CuW | PBE-GGA | relaxed

Results
VASP energy	-17.60	eV for the cell shown
SG	P4/mmm (123)
ΔE_f	0.78	eV per atom

Cell: 4.760 4.760 4.984 Å, 90.00 90.00 90.00°
Element x y z (fractional)
Ba  0.000  0.000  0.000
Zn  0.000  0.500  0.500
Zn  0.500  0.000  0.500
Cu  0.500  0.500  0.500
W  0.500  0.500  0.000


Record 4
BaYCu2 | PBE-GGA | relaxed

Results
excess energy over the best structure of this formula in the dataset	0	meV/atom
VASP energy	-16.87	eV for the cell shown
SG	P2/m (10)
ΔE_f	-0.07	eV per atom

Cell: 3.734 3.687 7.447 Å, 90.00 90.23 90.00°
Element x y z (fractional)
Ba  0.000  0.000  0.000
Y  0.000  0.000  0.500
Cu  0.499  0.500  0.319
Cu  0.501  0.500  0.681


Record 5
BaYCu | PBE-GGA | relaxed

Results
excess energy over the best structure of this formula in the dataset	892	meV/atom
VASP energy	-38.94	eV for the cell shown
SG	F-43m (216)
ΔE_f	0.92	eV per atom

Cell: 7.199 7.199 7.199 Å, 90.00 90.00 90.00°
Element x y z (fractional)
Ba  0.000  0.000  0.000
Ba  0.000  0.500  0.500
Ba  0.500  0.000  0.500
Ba  0.500  0.500  0.000
Y  0.250  0.250  0.750
Y  0.250  0.750  0.250
Y  0.750  0.250  0.250
Y  0.750  0.750  0.750
Cu  0.250  0.250  0.250
Cu  0.250  0.750  0.750
Cu  0.750  0.250  0.750
Cu  0.750  0.750  0.250


Record 6
BaYCu2 | PBE-GGA | relaxed

Results
excess energy over the best structure of this formula in the dataset	177	meV/atom
VASP energy	-32.33	eV for the cell shown
SG	C2/m (12)
ΔE_f	0.10	eV per atom

Cell: 7.614 4.345 7.503 Å, 90.00 109.32 90.00°
Element x y z (fractional)
Ba  0.000  0.000  0.000
Ba  0.500  0.500  0.000
Y  0.000  0.500  0.500
Y  0.500  0.000  0.500
Cu  0.230  0.000  0.688
Cu  0.270  0.500  0.312
Cu  0.730  0.500  0.688
Cu  0.770  0.000  0.312